Record 1
The following is a DFT calculation (PBE) of BaCoHSe2 after structural relaxation.

Output
Magnetization: 1.89 μB per cell
Energy relative to the lowest polymorph listed for this composition: 0 meV per atom

The structure in CIF format:
```
data_BaCoHSe2
_chemical_formula_sum 'Ba1 Co1 H1 Se2'
_symmetry_space_group_name_H-M 'P 4/m m m'
_symmetry_Int_Tables_number 123
_symmetry_space_group_name_Hall '-P 4 2'
_cell_length_a 5.011
_cell_length_b 5.011
_cell_length_c 4.080
_cell_angle_alpha 90.00
_cell_angle_beta 90.00
_cell_angle_gamma 90.00
loop_
_atom_site_label
_atom_site_fract_x
_atom_site_fract_y
_atom_site_fract_z
Ba1 0.000 0.000 0.000
Co1 0.500 0.500 0.500
H1 0.500 0.500 0.000
Se1 0.000 0.500 0.500
```

---

Record 2
The following is a DFT calculation (PBE) of BaCoHSe2 after structural relaxation.

Output
Magnetization: 2.02 μB per cell
Energy relative to the lowest polymorph listed for this composition: 386 meV per atom

The structure in CIF format:
```
data_BaCoHSe2
_chemical_formula_sum 'Ba1 Co1 H1 Se2'
_symmetry_space_group_name_H-M 'P 4/m m m'
_symmetry_Int_Tables_number 123
_symmetry_space_group_name_Hall '-P 4 2'
_cell_length_a 5.370
_cell_length_b 5.370
_cell_length_c 3.546
_cell_angle_alpha 90.00
_cell_angle_beta 90.00
_cell_angle_gamma 90.00
loop_
_atom_site_label
_atom_site_fract_x
_atom_site_fract_y
_atom_site_fract_z
Ba1 0.000 0.000 0.000
Co1 0.500 0.500 0.000
H1 0.500 0.500 0.500
Se1 0.000 0.500 0.500
```

---

Record 3
The following is a DFT calculation (PBE) of BaCo2SnH8 after structural relaxation.

Output
VASP energy: -3.85 eV/atom
Magnetization: 0.00 μB per cell

The structure in CIF format:
```
data_BaCo2SnH8
_chemical_formula_sum 'Ba1 Co2 Sn1 H8'
_symmetry_space_group_name_H-M 'P -3'
_symmetry_Int_Tables_number 147
_cell_length_a 4.5061
_cell_length_b 4.5061
_cell_length_c 6.8874
_cell_angle_alpha 90.00
_cell_angle_beta 90.00
_cell_angle_gamma 120.00
loop_
_symmetry_equiv_pos_as_xyz
'x,y,z'
'-x,-y,-z'
'-y,x-y,z'
'y,-x+y,-z'
'-x+y,-x,z'
'x-y,x,-z'
loop_
_atom_site_label
_atom_site_fract_x
_atom_site_fract_y
_atom_site_fract_z
Ba1 0.0000 0.0000 0.0000
Co1 0.3333 0.6667 0.6601
Sn1 0.0000 0.0000 0.5000
H1 0.0375 0.5206 0.2800
H2 0.3333 0.6667 0.8737
```

---

Record 4
The following is a DFT calculation (PBE) of BaSr2CoH8 after structural relaxation.

Output
VASP energy: -3.71 eV/atom
Magnetization: 0.32 μB per cell

The structure in CIF format:
```
data_BaSr2CoH8
_chemical_formula_sum 'Ba1 Sr2 Co1 H8'
_symmetry_space_group_name_H-M 'P -3 m 1'
_symmetry_Int_Tables_number 164
_symmetry_space_group_name_Hall '-P 3 2"'
_cell_length_a 5.0510
_cell_length_b 5.0510
_cell_length_c 7.5235
_cell_angle_alpha 90.00
_cell_angle_beta 90.00
_cell_angle_gamma 120.00
loop_
_atom_site_label
_atom_site_fract_x
_atom_site_fract_y
_atom_site_fract_z
Ba1 0.0000 0.0000 0.0000
Sr1 0.3333 0.6667 0.3571
Co1 0.0000 0.0000 0.5000
H1 0.1478 0.2956 0.6261
H2 0.3333 0.6667 0.0412
```

---

Record 5
The following is a DFT calculation (PBE) of BaTaCo2H8 after structural relaxation.

Output
VASP energy: -4.67 eV/atom
Magnetization: 0.00 μB per cell

The structure in CIF format:
```
data_BaTaCo2H8
_chemical_formula_sum 'Ba3 Ta3 Co6 H24'
_symmetry_space_group_name_H-M 'R -3 m'
_symmetry_Int_Tables_number 166
_symmetry_space_group_name_Hall '-R 3 2"'
_cell_length_a 4.5706
_cell_length_b 4.5706
_cell_length_c 18.3840
_cell_angle_alpha 90.00
_cell_angle_beta 90.00
_cell_angle_gamma 120.00
loop_
_atom_site_label
_atom_site_fract_x
_atom_site_fract_y
_atom_site_fract_z
Ba1 0.0000 0.0000 0.0000
Ta1 0.0000 0.0000 0.5000
Co1 0.0000 0.0000 0.2115
H1 0.0000 0.0000 0.2925
H2 0.0318 0.5159 0.0852
```

---

Record 6
The following is a DFT calculation (PBE) of BaCoTc2H after structural relaxation.

Output
VASP energy: -5.59 eV/atom
Magnetization: 1.80 μB per cell

The structure in CIF format:
```
data_BaCoTc2H
_chemical_formula_sum 'Ba1 Co1 Tc2 H1'
_symmetry_space_group_name_H-M 'P 4/m m m'
_symmetry_Int_Tables_number 123
_symmetry_space_group_name_Hall '-P 4 2'
_cell_length_a 3.892
_cell_length_b 3.892
_cell_length_c 5.235
_cell_angle_alpha 90.00
_cell_angle_beta 90.00
_cell_angle_gamma 90.00
loop_
_atom_site_label
_atom_site_fract_x
_atom_site_fract_y
_atom_site_fract_z
Ba1 0.000 0.000 0.000
Co1 0.500 0.500 0.000
Tc1 0.000 0.500 0.500
H1 0.500 0.500 0.500
```